Computed, not measured: a relaxed structure of Ac8PrSm2 at the PBE level of DFT.

Cell lengths 10.188, 10.188, 10.188 Å; angles 145.84, 126.59, 64.94 degrees
Sites, in units of the cell vectors:
Ac (0.149, 0.356, 0.793)
Ac (0.159, 0.159, 0.000)
Ac (0.297, 0.000, 0.297)
Ac (0.436, 0.644, 0.793)
Ac (0.564, 0.356, 0.207)
Ac (0.703, 0.000, 0.703)
Ac (0.841, 0.841, 0.000)
Ac (0.851, 0.644, 0.207)
Pr (0.000, 0.500, 0.500)
Sm (0.300, 0.800, 0.500)
Sm (0.700, 0.200, 0.500)

Spin magnetization (μB/f.u.): 0.0
E_tot (eV per atom): -4.167
Crystal system: orthorhombic
SG: Immm, No. 71


Computed, not measured: a relaxed structure of Ac4PrSm at the PBE level of DFT.

Cell lengths 5.883, 5.883, 10.226 Å; angles 106.72, 106.72, 59.89 degrees
Sites, in units of the cell vectors:
Ac (0.124, 0.124, 0.372)
Ac (0.374, 0.374, 0.123)
Ac (0.626, 0.626, 0.877)
Ac (0.876, 0.876, 0.628)
Pr (0.500, 0.500, 0.500)
Sm (0.000, 0.000, 0.000)

Spin magnetization (μB/f.u.): 0.0
E_tot (eV per atom): -3.738
Crystal system: monoclinic
SG: C2/m, No. 12


Computed, not measured: a relaxed structure of Ac2PrSm2 at the PBE level of DFT.

Cell lengths 8.789, 8.789, 5.102 Å; angles 90.00, 90.00, 90.00 degrees
Sites, in units of the cell vectors:
Ac (0.163, 0.337, 0.000)
Ac (0.337, 0.837, 0.000)
Ac (0.663, 0.163, 0.000)
Ac (0.837, 0.663, 0.000)
Pr (0.000, 0.000, 0.500)
Pr (0.500, 0.500, 0.500)
Sm (0.138, 0.638, 0.500)
Sm (0.362, 0.138, 0.500)
Sm (0.638, 0.862, 0.500)
Sm (0.862, 0.362, 0.500)

Spin magnetization (μB/f.u.): 0.0
E_tot (eV per atom): -4.296
Crystal system: tetragonal
SG: P4/mbm, No. 127


Computed, not measured: a relaxed structure of AcPr4Sm6 at the PBE level of DFT.

Cell lengths 9.967, 9.967, 9.967 Å; angles 140.00, 140.00, 57.86 degrees
Sites, in units of the cell vectors:
Ac (0.000, 0.000, 0.000)
Pr (0.013, 0.629, 0.000)
Pr (0.371, 0.371, 0.384)
Pr (0.629, 0.013, 0.000)
Pr (0.987, 0.987, 0.616)
Sm (0.000, 0.500, 0.500)
Sm (0.198, 0.198, 0.645)
Sm (0.446, 0.802, 0.000)
Sm (0.500, 0.000, 0.500)
Sm (0.554, 0.554, 0.355)
Sm (0.802, 0.446, 0.000)

Spin magnetization (μB/f.u.): 0.0
E_tot (eV per atom): -4.380
Crystal system: tetragonal
SG: I-42m, No. 121


Computed, not measured: a relaxed structure of Ac2PrSm3 at the PBE level of DFT.

Cell lengths 8.382, 8.382, 10.630 Å; angles 90.14, 90.14, 37.37 degrees
Sites, in units of the cell vectors:
Ac (0.087, 0.087, 0.368)
Ac (0.412, 0.412, 0.368)
Ac (0.588, 0.588, 0.632)
Ac (0.913, 0.913, 0.632)
Pr (0.415, 0.415, 0.883)
Pr (0.585, 0.585, 0.117)
Sm (0.085, 0.085, 0.882)
Sm (0.250, 0.250, 0.117)
Sm (0.250, 0.250, 0.634)
Sm (0.750, 0.750, 0.366)
Sm (0.750, 0.750, 0.883)
Sm (0.915, 0.915, 0.118)

Spin magnetization (μB/f.u.): 0.0
E_tot (eV per atom): -4.490
Crystal system: monoclinic
SG: C2/m, No. 12


Computed, not measured: a relaxed structure of Ac2Pr3Sm7 at the PBE level of DFT.

Cell lengths 6.550, 3.673, 18.265 Å; angles 90.00, 96.60, 90.00 degrees
Sites, in units of the cell vectors:
Ac (0.056, 0.000, 0.173)
Ac (0.944, 0.000, 0.827)
Pr (0.453, 0.500, 0.839)
Pr (0.500, 0.000, 0.500)
Pr (0.547, 0.500, 0.161)
Sm (0.000, 0.500, 0.500)
Sm (0.228, 0.000, 0.663)
Sm (0.259, 0.000, 0.000)
Sm (0.276, 0.500, 0.339)
Sm (0.724, 0.500, 0.661)
Sm (0.741, 0.000, 0.000)
Sm (0.772, 0.000, 0.337)

Spin magnetization (μB/f.u.): 0.0
E_tot (eV per atom): -4.541
Crystal system: monoclinic
SG: P2/m, No. 10


Computed, not measured: a relaxed structure of AcPr5Sm8 at the PBE level of DFT.

Cell lengths 9.067, 9.067, 15.410 Å; angles 90.69, 90.69, 23.10 degrees
Sites, in units of the cell vectors:
Ac (0.000, 0.000, 0.000)
Pr (0.154, 0.154, 0.852)
Pr (0.247, 0.247, 0.484)
Pr (0.573, 0.573, 0.428)
Pr (0.821, 0.821, 0.923)
Pr (0.899, 0.899, 0.363)
Sm (0.053, 0.053, 0.220)
Sm (0.094, 0.094, 0.637)
Sm (0.358, 0.358, 0.147)
Sm (0.425, 0.425, 0.569)
Sm (0.462, 0.462, 0.786)
Sm (0.679, 0.679, 0.067)
Sm (0.720, 0.720, 0.281)
Sm (0.782, 0.782, 0.695)

Spin magnetization (μB/f.u.): 0.0
E_tot (eV per atom): -4.642
Crystal system: monoclinic
SG: Cm, No. 8


Computed, not measured: a relaxed structure of Ac7Pr3Sm at the PBE level of DFT.

Cell lengths 9.158, 9.158, 6.474 Å; angles 110.65, 110.65, 86.03 degrees
Sites, in units of the cell vectors:
Ac (0.000, 0.000, 0.000)
Ac (0.103, 0.520, 0.311)
Ac (0.296, 0.296, 0.796)
Ac (0.480, 0.897, 0.689)
Ac (0.520, 0.103, 0.311)
Ac (0.704, 0.704, 0.204)
Ac (0.897, 0.480, 0.689)
Pr (0.289, 0.711, 0.000)
Pr (0.500, 0.500, 0.500)
Pr (0.711, 0.289, 0.000)
Sm (0.000, 0.000, 0.500)

Spin magnetization (μB/f.u.): 0.0
E_tot (eV per atom): -4.107
Crystal system: monoclinic
SG: C2/m, No. 12


Computed, not measured: a relaxed structure of Ac2Pr12Sm5 at the PBE level of DFT.

Cell lengths 9.007, 9.007, 9.718 Å; angles 109.84, 109.84, 82.87 degrees
Sites, in units of the cell vectors:
Ac (0.234, 0.766, 0.000)
Ac (0.766, 0.234, 0.000)
Pr (0.066, 0.554, 0.198)
Pr (0.075, 0.075, 0.775)
Pr (0.110, 0.672, 0.575)
Pr (0.328, 0.890, 0.425)
Pr (0.374, 0.374, 0.055)
Pr (0.446, 0.934, 0.802)
Pr (0.554, 0.066, 0.198)
Pr (0.626, 0.626, 0.945)
Pr (0.672, 0.110, 0.575)
Pr (0.890, 0.328, 0.425)
Pr (0.925, 0.925, 0.225)
Pr (0.934, 0.446, 0.802)
Sm (0.193, 0.193, 0.240)
Sm (0.310, 0.310, 0.669)
Sm (0.500, 0.500, 0.500)
Sm (0.690, 0.690, 0.331)
Sm (0.807, 0.807, 0.760)

Spin magnetization (μB/f.u.): 0.0
E_tot (eV per atom): -4.589
Crystal system: monoclinic
SG: C2/m, No. 12


Computed, not measured: a relaxed structure of AcPr9Sm2 at the PBE level of DFT.

Cell lengths 5.259, 5.259, 15.805 Å; angles 90.00, 90.00, 90.00 degrees
Sites, in units of the cell vectors:
Ac (0.000, 0.000, 0.000)
Pr (0.000, 0.500, 0.172)
Pr (0.000, 0.500, 0.500)
Pr (0.000, 0.500, 0.828)
Pr (0.500, 0.000, 0.172)
Pr (0.500, 0.000, 0.500)
Pr (0.500, 0.000, 0.828)
Pr (0.500, 0.500, 0.000)
Pr (0.500, 0.500, 0.337)
Pr (0.500, 0.500, 0.663)
Sm (0.000, 0.000, 0.336)
Sm (0.000, 0.000, 0.664)

Spin magnetization (μB/f.u.): 0.0
E_tot (eV per atom): -4.697
Crystal system: tetragonal
SG: P4/mmm, No. 123